No. 1
Below is an optimized crystal structure of Na2CuSnSe4, with properties calculated at the PBE level.

Properties
**Crystal system**: tetragonal

Unit cell a=7.6463 b=7.6463 c=6.7090 alpha=90.00 beta=90.00 gamma=90.00
With the nearest neighbours (Å) after each atom.
Space group I-42m (No. 121)
Unique sites:
Na 0.0000 0.5000 0.0000  8 Se 3.25-3.32, 2 Na 3.35
Cu 0.0000 0.0000 0.0000  4 Se 2.49
Sn 0.0000 0.0000 0.5000  4 Se 2.57
Se 0.1749 0.1749 0.7598  1 Cu 2.49, 1 Sn 2.57

No. 2
Below is an optimized crystal structure of AlCu2Ni3, with properties calculated at the PBE level.

Properties
**Crystal system**: hexagonal
**E_form**: 0.097 eV per atom
**Energy relative to the lowest polymorph listed for this composition**: 2.09 eV per formula unit

Unit cell a=4.6564 b=4.6564 c=4.0870 alpha=90.00 beta=90.00 gamma=120.00
With the nearest neighbours (Å) after each atom.
Space group P6/mmm (No. 191)
Unique sites:
Al 0.0000 0.0000 0.0000  6 Cu 2.69
Cu 0.3333 0.6667 0.0000  6 Ni 2.45, 3 Al 2.69, 3 Cu 2.69
Ni 0.0000 0.5000 0.5000  4 Ni 2.33, 4 Cu 2.45

No. 3
Below is an optimized crystal structure of Ho5Sn4, with properties calculated at the PBE level.

Properties
**Crystal system**: tetragonal
**E_form**: -0.386 eV per atom

Unit cell a=9.3584 b=9.3584 c=6.0892 alpha=90.00 beta=90.00 gamma=90.00
With the nearest neighbours (Å) after each atom.
Space group I4/m (No. 87)
Unique sites:
Ho 0.0000 0.0000 0.0000  4 Sn 3.12
Ho 0.1093 0.7482 0.5000  5 Sn 3.06-3.14
Sn 0.0724 0.6750 0.0000  6 Ho 3.06-3.14

No. 4
Below is an optimized crystal structure of BaLi4Pr, with properties calculated at the PBE level.

Properties
**Crystal system**: cubic
**E_form**: 0.118 eV per atom

Unit cell a=8.8967 b=8.8967 c=8.8967 alpha=90.00 beta=90.00 gamma=90.00
With the nearest neighbours (Å) after each atom.
Space group F-43m (No. 216)
Unique sites:
Ba 0.0000 0.0000 0.0000  12 Li 3.69, 4 Pr 3.85
Li 0.1235 0.1235 0.6235  6 Li 3.11-3.18
Pr 0.2500 0.2500 0.2500  12 Li 3.68, 4 Ba 3.85

Values for calculated density, g/cm3, ordered as above
4.6; 7.1; 8.1; 2.9
Values for raw total energy, eV per atom, ordered as above
-3.613; -4.783; -4.708; -2.275
Values for total moment, μB/cell, ordered as above
1.8; 0.0; 0.0; 0.0